No. 1
Entry from OQMD: a relaxed PaTcAs crystal (PBE).

Structure (POSCAR):
```
PaTcAs
1.0
-0.3753 -4.1497 1.9786
0.5878 -0.4456 4.5532
-3.6109 -0.9448 2.7100
As Pa Tc
1 1 1
direct
0.2500 0.2500 0.2500
0.0000 0.0000 0.0000
0.7500 0.7500 0.7500
```

Results
SG ... F-43m
Raw total energy ... -7.78 eV/atom



No. 2
Entry from OQMD: a relaxed Sm5YIn3 crystal (PBE).

Structure (POSCAR):
```
Sm5YIn3
1.0
8.2152 -4.7441 0.0000
8.2152 4.7441 0.0000
0.0000 0.0000 6.8429
In Sm Y
6 10 2
direct
0.3259 0.0000 0.2500
0.6740 0.3260 0.2500
0.0000 0.6741 0.2500
0.6741 0.0000 0.7500
0.0000 0.3259 0.7500
0.3260 0.6740 0.7500
0.3335 0.3335 0.0000
0.6665 0.6665 0.0000
0.6615 0.0000 0.2500
0.0000 0.3385 0.2500
0.3384 0.6616 0.2500
0.3335 0.3335 0.5000
0.6665 0.6665 0.5000
0.3385 0.0000 0.7500
0.6616 0.3384 0.7500
0.0000 0.6615 0.7500
0.0000 0.0000 0.0000
0.0000 0.0000 0.5000
```

Results
SG ... P6_3/mcm
Raw total energy ... -4.61 eV/atom